1.
Density functional theory data (PBE) for an optimized crystal structure of Pu2MgI6.

Cell: 7.433 7.433 13.727 Å, 90.00 90.00 90.00°
Last column: magnetic moment on the atom in μB.
Atoms (fractional coordinates):
Pu 0.000 0.000 0.839  5.74
Pu 0.500 0.500 0.661  5.74
Pu 0.500 0.500 0.339  5.74
Pu 0.000 0.000 0.161  5.74
I 0.715 0.715 0.500  -0.03
I 0.307 0.307 0.158  -0.03
I 0.807 0.193 0.342  -0.03
I 0.693 0.693 0.158  -0.03
I 0.807 0.193 0.658  -0.03
I 0.693 0.693 0.842  -0.03
I 0.193 0.807 0.342  -0.03
I 0.785 0.215 0.000  -0.03
I 0.285 0.285 0.500  -0.03
I 0.215 0.785 0.000  -0.03
I 0.307 0.307 0.842  -0.03
I 0.193 0.807 0.658  -0.03
Mg 0.000 0.000 0.500  0.04
Mg 0.500 0.500 0.000  0.04

Summary:
The formation energy without anion corrections comes out at -0.958 eV per atom. The energy above the lowest structure with this stoichiometry comes out at 71 meV per atom. The total energy is -5.35 eV per atom.

2.
Density functional theory data (PBE) for an optimized crystal structure of PuMgI6.

Cell: 7.883 7.883 7.297 Å, 90.75 90.75 119.97°
Last column: magnetic moment on the atom in μB.
Atoms (fractional coordinates):
I 0.702 0.000 0.753  -0.09
I 0.701 0.701 0.234  -0.09
I 0.000 0.702 0.753  -0.09
I 0.000 0.298 0.247  -0.09
I 0.298 0.000 0.247  -0.09
I 0.299 0.299 0.766  -0.09
Mg 0.000 0.000 0.000  0.00
Pu 0.000 0.000 0.500  4.74

Summary:
The formation energy without anion corrections comes out at -0.908 eV per atom. The total energy is -4.06 eV per atom.

3.
Density functional theory data (PBE) for an optimized crystal structure of Pu2MgI6.

Cell: 4.288 8.702 11.492 Å, 111.07 90.00 104.26°
Last column: magnetic moment on the atom in μB.
Atoms (fractional coordinates):
Pu 0.672 0.344 0.848  5.69
Pu 0.328 0.656 0.152  5.69
I 0.685 0.370 0.128  -0.05
I 0.979 0.958 0.230  -0.03
I 0.315 0.630 0.872  -0.05
I 0.370 0.741 0.453  -0.01
I 0.021 0.042 0.770  -0.03
I 0.630 0.259 0.547  -0.01
Mg 0.000 0.000 0.500  0.01

Summary:
The formation energy without anion corrections comes out at -1.030 eV per atom. The energy above the lowest structure with this stoichiometry comes out at 0 meV per atom. The total energy is -5.43 eV per atom.

4.
Density functional theory data (PBE) for an optimized crystal structure of PuMg2I6.

Cell: 4.435 7.854 12.531 Å, 84.09 90.00 106.40°
Last column: magnetic moment on the atom in μB.
Atoms (fractional coordinates):
Mg 0.713 0.426 0.771  0.01
Mg 0.287 0.574 0.229  0.01
I 0.106 0.212 0.266  -0.01
I 0.365 0.730 0.425  -0.03
I 0.149 0.298 0.887  0.00
I 0.894 0.788 0.734  -0.01
I 0.635 0.270 0.575  -0.03
I 0.851 0.702 0.113  0.00
Pu 0.000 0.000 0.500  5.74

Summary:
The formation energy without anion corrections comes out at -0.970 eV per atom. The total energy is -3.95 eV per atom.

> Which of these has the lowest formation energy without anion corrections?

number 3